Here is InSiSe3 after structural relaxation from Alexandria via LeMat-Bulk. Energies are from PBE.

Computed properties:
Total moment = 0.0000 μB/atom
ΔE_f (raw) = -399 meV per atom
Crystal system = monoclinic

Cell and atoms, written as CIF:
```
data_InSiSe3
_chemical_formula_sum 'In4 Si4 Se12'
_cell_length_a 14.6363
_cell_length_b 3.7502
_cell_length_c 10.6706
_cell_angle_alpha 90.00
_cell_angle_beta 96.83
_cell_angle_gamma 90.00
_space_group_name_H-M_alt 'C 1 2/m 1'
_space_group_IT_number 12
loop_
_space_group_symop_operation_xyz
'x,y,z'
'-x,-y,-z'
'-x,y,-z'
'x,-y,z'
'x+1/2,y+1/2,z'
'-x+1/2,-y+1/2,-z'
'-x+1/2,y+1/2,-z'
'x+1/2,-y+1/2,z'
loop_
_atom_site_label
_atom_site_type_symbol
_atom_site_fract_x
_atom_site_fract_y
_atom_site_fract_z
In1 In 0.0828 0.0000 0.4527
Si1 Si 0.0935 0.5000 0.7763
Se1 Se 0.0661 0.5000 0.2598
Se2 Se 0.1386 0.0000 0.9038
Se3 Se 0.1826 0.5000 0.6092
```